The following is a DFT calculation (meta-GGA SCAN) of a crystal of Zr8Co3Cu relaxed with PBEsol.

Calculated values
Fermi-level density of states	14.29	states/eV/cell
E_form	-2.310	eV/f.u.

Cell lengths 5.2417, 5.2417, 8.9114 Å; angles 90.00, 90.00, 119.65 degrees
Sites, in units of the cell vectors:
Zr: 0.0000 0.5000 0.5839
Zr: 0.0000 0.5000 0.9163
Zr: 0.1628 0.3314 0.2571
Zr: 0.3314 0.1628 0.7429
Zr: 0.5000 0.0000 0.0837
Zr: 0.5000 0.0000 0.4161
Zr: 0.6686 0.8372 0.7429
Zr: 0.8372 0.6686 0.2571
Co: 0.0000 0.0000 0.0000
Co: 0.0000 0.0000 0.5000
Co: 0.5000 0.5000 0.5000
Cu: 0.5000 0.5000 0.0000